VASP calculation (PBE) on a relaxed structure of Mg2Ge2Pd3.

Geometry as POSCAR:
```
Mg2Ge2Pd3
1.0
5.573 -1.664 0.000
5.573 1.664 0.000
-2.711 0.000 6.447
Mg Ge Pd
2 2 3
Direct
0.088 0.088 0.250
0.912 0.912 0.750
0.179 0.179 0.708
0.821 0.821 0.292
0.374 0.374 0.046
0.500 0.500 0.500
0.626 0.626 0.954
```

ΔH_f (0 K), eV per atom: -0.55
Crystal system: monoclinic
Energy above the lowest structure with this stoichiometry, meV per atom: 0.0

***

VASP calculation (PBE) on a relaxed structure of Hf2Mn3Fe.

Geometry as POSCAR:
```
Hf2Mn3Fe
1.0
2.448 1.414 4.072
-2.448 1.414 4.072
0.000 -2.827 4.072
Hf Mn Fe
2 3 1
Direct
0.124 0.124 0.124
0.876 0.876 0.876
0.000 0.500 0.500
0.500 0.000 0.500
0.500 0.500 0.000
0.500 0.500 0.500
```

ΔH_f (0 K), eV per atom: -0.27
Crystal system: trigonal

***

VASP calculation (PBE) on a relaxed structure of CeTlCdAu.

Geometry as POSCAR:
```
CeTlCdAu
1.0
0.000 3.646 3.646
3.646 0.000 3.646
3.646 3.646 0.000
Ce Tl Cd Au
1 1 1 1
Direct
0.000 0.000 0.000
0.250 0.250 0.250
0.500 0.500 0.500
0.750 0.750 0.750
```

ΔH_f (0 K), eV per atom: -0.37
Crystal system: cubic

***

VASP calculation (PBE) on a relaxed structure of Sr2Li2TbIn5.

Geometry as POSCAR:
```
Sr2Li2TbIn5
1.0
10.652 0.000 0.000
0.000 10.652 0.000
0.000 0.000 4.631
Sr Li Tb In
4 4 2 10
Direct
0.180 0.320 0.000
0.320 0.820 0.000
0.680 0.180 0.000
0.820 0.680 0.000
0.114 0.614 0.000
0.386 0.114 0.000
0.614 0.886 0.000
0.886 0.386 0.000
0.000 0.000 0.000
0.500 0.500 0.000
0.000 0.500 0.500
0.060 0.790 0.500
0.210 0.060 0.500
0.290 0.560 0.500
0.440 0.290 0.500
0.500 0.000 0.500
0.560 0.710 0.500
0.710 0.440 0.500
0.790 0.940 0.500
0.940 0.210 0.500
```

ΔH_f (0 K), eV per atom: -0.39
Crystal system: tetragonal

***

VASP calculation (PBE) on a relaxed structure of TlCrSi2.

Geometry as POSCAR:
```
TlCrSi2
1.0
-1.393 2.406 5.317
1.393 -2.406 5.317
1.393 2.406 -5.317
Tl Cr Si
1 1 2
Direct
0.000 0.000 0.000
0.500 0.500 0.000
0.300 0.800 0.500
0.700 0.200 0.500
```

Crystal system: orthorhombic
Energy above the lowest structure with this stoichiometry, meV per atom: 331.7
Energy relative to the elements, uncorrected, meV/atom: 569

***

VASP calculation (PBE) on a relaxed structure of RhC3S.

Geometry as POSCAR:
```
RhC3S
1.0
3.988 0.000 0.000
0.000 3.988 0.000
0.000 0.000 3.988
Rh C S
1 3 1
Direct
0.000 0.000 0.000
0.000 0.000 0.500
0.000 0.500 0.000
0.500 0.000 0.000
0.500 0.500 0.500
```

Crystal system: cubic
Energy above the lowest structure with this stoichiometry, meV per atom: 23.9
Energy relative to the elements, uncorrected, meV/atom: 2413

***

VASP calculation (PBE) on a relaxed structure of Si3SbN.

Geometry as POSCAR:
```
Si3SbN
1.0
4.277 0.000 0.000
0.000 4.277 0.000
0.000 0.000 4.277
Si Sb N
3 1 1
Direct
0.000 0.000 0.500
0.000 0.500 0.000
0.500 0.000 0.000
0.500 0.500 0.500
0.000 0.000 0.000
```

Crystal system: cubic
Energy relative to the elements, uncorrected, meV/atom: 714

***

VASP calculation (PBE) on a relaxed structure of LuTiO3.

Geometry as POSCAR:
```
LuTiO3
1.0
5.640 0.000 0.000
0.000 7.619 0.000
0.000 0.000 5.252
Lu Ti O
4 4 12
Direct
0.074 0.250 0.025
0.426 0.750 0.525
0.574 0.250 0.475
0.926 0.750 0.975
0.000 0.000 0.500
0.000 0.500 0.500
0.500 0.000 0.000
0.500 0.500 0.000
0.056 0.750 0.365
0.194 0.564 0.814
0.194 0.936 0.814
0.306 0.064 0.314
0.306 0.436 0.314
0.444 0.250 0.865
0.556 0.750 0.135
0.694 0.564 0.686
0.694 0.936 0.686
0.806 0.064 0.186
0.806 0.436 0.186
0.944 0.250 0.635
```

Crystal system: orthorhombic
Energy relative to the elements, uncorrected, meV/atom: -3235